First-principles (SCAN) data for a PBEsol-optimized structure of Y2ScRh, as listed in the Alexandria database.

```
Y2ScRh
1.0
-0.256 -3.066 1.644
4.375 -1.509 -2.134
0.590 4.239 4.296
Y Sc Rh
2 1 1
Direct
0.001 0.501 0.002
0.205 0.205 0.409
0.803 0.803 0.606
0.491 0.991 0.983
```

Output
Spin magnetization: 0.000 μB per atom
Distance to the lowest polymorph of the same formula: 0 meV/atom
Space-group type: Imm2 (44)



First-principles (SCAN) data for a PBEsol-optimized structure of Li2CaTl2, as listed in the Alexandria database.

```
Li2CaTl2
1.0
-2.757 2.905 -0.732
-2.417 -1.569 2.877
5.682 3.497 3.800
Tl Ca Li
2 1 2
Direct
0.390 0.390 0.780
0.610 0.610 0.220
0.000 0.000 0.000
0.250 0.750 0.500
0.750 0.250 0.500
```

Output
Spin magnetization: 0.000 μB per atom
Distance to the lowest polymorph of the same formula: 0 meV/atom
Space-group type: I4/mmm (139)



First-principles (SCAN) data for a PBEsol-optimized structure of Li2In, as listed in the Alexandria database.

```
Li2In
1.0
2.890 0.000 0.000
0.000 4.624 0.000
0.000 -2.312 4.004
In Li
1 2
Direct
0.500 0.000 0.000
0.000 0.333 0.667
0.000 0.667 0.333
```

Output
Spin magnetization: 0.000 μB per atom
Uncorrected energy: -39.2 eV per cell
Space-group type: P6/mmm (191)



First-principles (SCAN) data for a PBEsol-optimized structure of LaMoP, as listed in the Alexandria database.

```
LaMoP
1.0
-1.012 -3.092 -0.273
0.521 -0.452 3.191
-4.778 3.325 -0.419
La Mo P
1 1 1
Direct
0.003 0.003 0.006
0.291 0.291 0.582
0.706 0.706 0.413
```

Output
Spin magnetization: 0.000 μB per atom
Distance to the lowest polymorph of the same formula: 0 meV/atom
Space-group type: I4mm (107)



First-principles (SCAN) data for a PBEsol-optimized structure of LaCo2, as listed in the Alexandria database.

```
LaCo2
1.0
4.198 0.000 0.000
2.099 3.636 0.000
2.099 1.212 3.428
Co La
2 1
Direct
0.250 0.250 0.250
0.750 0.750 0.750
0.000 0.000 0.000
```

Output
Spin magnetization: 0.291 μB per atom
Uncorrected energy: -74.3 eV per cell
Space-group type: Fm-3m (225)



First-principles (SCAN) data for a PBEsol-optimized structure of Ba2FeWO6, as listed in the Alexandria database.

```
Ba2FeWO6
1.0
-4.034 -3.979 0.690
3.069 0.148 -4.810
2.443 -1.628 4.895
O Ba W Fe
6 2 1 1
Direct
0.741 0.000 0.741
0.259 0.000 0.259
0.259 0.518 0.259
0.741 0.000 0.259
0.741 0.482 0.741
0.259 0.000 0.741
0.250 0.500 0.750
0.750 0.500 0.250
0.500 0.000 0.500
0.000 0.000 0.000
```

Output
Spin magnetization: 0.400 μB per atom
Uncorrected energy: -230.5 eV per cell
Space-group type: Fm-3m (225)



First-principles (SCAN) data for a PBEsol-optimized structure of BaTa2Be, as listed in the Alexandria database.

```
BaTa2Be
1.0
-0.896 -4.821 -0.563
4.654 -1.016 1.294
-4.390 2.380 8.247
Be Ba Ta
2 2 4
Direct
0.500 0.500 0.000
0.750 0.250 0.500
0.000 0.000 0.000
0.250 0.750 0.500
0.625 0.375 0.750
0.125 0.375 0.750
0.625 0.875 0.250
0.625 0.375 0.250
```

Output
Spin magnetization: 0.000 μB per atom
Uncorrected energy: -343.2 eV per cell
Space-group type: I4_1/amd (141)



First-principles (SCAN) data for a PBEsol-optimized structure of La2TcH2, as listed in the Alexandria database.

```
La2TcH2
1.0
-0.634 1.757 3.000
-2.268 -2.520 0.997
6.525 -2.982 1.044
H Tc La
2 1 2
Direct
0.250 0.750 0.500
0.750 0.250 0.500
0.000 0.000 0.000
0.369 0.369 0.738
0.631 0.631 0.262
```

Output
Spin magnetization: 0.000 μB per atom
Uncorrected energy: -129.2 eV per cell
Space-group type: I4/mmm (139)



First-principles (SCAN) data for a PBEsol-optimized structure of BeCr2Br, as listed in the Alexandria database.

```
BeCr2Br
1.0
3.019 0.000 0.000
0.000 4.155 0.000
0.000 0.000 4.374
Cr Br Be
2 1 1
Direct
0.000 0.000 0.000
0.500 0.000 0.500
0.000 0.500 0.500
0.500 0.500 0.000
```

Output
Spin magnetization: 0.070 μB per atom
Distance to the lowest polymorph of the same formula: 56 meV/atom
Space-group type: Pmmm (47)



First-principles (SCAN) data for a PBEsol-optimized structure of CrSbCI2, as listed in the Alexandria database.

```
CrSbCI2
1.0
-1.875 1.950 4.157
2.192 -3.377 2.573
3.842 2.810 0.415
I Sb C Cr
2 1 1 1
Direct
0.000 0.000 0.500
0.000 0.500 0.000
0.500 0.000 0.000
0.000 0.000 0.000
0.500 0.500 0.500
```

Output
Spin magnetization: 0.776 μB per atom
Distance to the lowest polymorph of the same formula: 0 meV/atom
Space-group type: P4/mmm (123)



First-principles (SCAN) data for a PBEsol-optimized structure of Mg3IrRu, as listed in the Alexandria database.

```
Mg3IrRu
1.0
4.781 0.000 0.000
0.000 4.781 0.000
0.000 0.000 4.781
Ru Mg Ir
1 3 1
Direct
0.500 0.500 0.500
0.000 0.500 0.000
0.000 0.000 0.500
0.500 0.000 0.000
0.000 0.000 0.000
```

Output
Spin magnetization: 0.455 μB per atom
Uncorrected energy: -117.4 eV per cell
Space-group type: Pm-3m (221)



First-principles (SCAN) data for a PBEsol-optimized structure of TaPt2Au, as listed in the Alexandria database.

```
TaPt2Au
1.0
-1.033 -0.946 2.460
1.666 -4.474 -1.020
3.437 2.498 2.404
Au Pt Ta
1 2 1
Direct
0.500 0.500 0.500
0.000 0.500 0.000
0.000 0.000 0.500
0.500 0.000 0.000
```

Output
Spin magnetization: 0.000 μB per atom
Distance to the lowest polymorph of the same formula: 227 meV/atom
Space-group type: Cmmm (65)



First-principles (SCAN) data for a PBEsol-optimized structure of SrTa2Bi2O9, as listed in the Alexandria database.

```
SrTa2Bi2O9
1.0
-4.127 2.263 2.883
-3.673 -2.706 -3.134
2.128 -8.268 9.534
Sr Ta Bi O
2 4 4 18
Direct
0.000 0.022 0.000
0.500 0.522 0.000
0.496 0.930 0.831
0.504 0.099 0.169
0.004 0.430 0.831
0.996 0.599 0.169
0.027 0.735 0.600
0.973 0.135 0.400
0.527 0.635 0.400
0.473 0.235 0.600
0.549 0.190 0.319
0.740 0.967 0.504
0.260 0.463 0.496
0.951 0.690 0.319
0.000 0.518 0.000
0.500 0.018 0.000
0.726 0.663 0.841
0.274 0.822 0.159
0.276 0.221 0.854
0.240 0.963 0.496
0.224 0.721 0.854
0.226 0.322 0.159
0.776 0.868 0.146
0.774 0.163 0.841
0.049 0.372 0.681
0.724 0.368 0.146
0.451 0.872 0.681
0.760 0.467 0.504
```

Output
Spin magnetization: 0.000 μB per atom
Distance to the lowest polymorph of the same formula: 0 meV/atom
Space-group type: Aea2 (41)



First-principles (SCAN) data for a PBEsol-optimized structure of IrPtCl2, as listed in the Alexandria database.

```
IrPtCl2
1.0
-1.563 0.139 2.353
2.196 -2.032 -0.121
5.363 5.604 3.231
Ir Pt Cl
1 1 2
Direct
0.500 0.000 0.500
0.500 0.000 0.000
0.000 0.000 0.734
0.000 0.000 0.266
```

Output
Spin magnetization: 0.000 μB per atom
Distance to the lowest polymorph of the same formula: 742 meV/atom
Space-group type: Cmmm (65)



First-principles (SCAN) data for a PBEsol-optimized structure of BaCaN2O, as listed in the Alexandria database.

```
BaCaN2O
1.0
4.385 0.000 0.000
0.000 4.545 0.000
0.000 0.000 4.545
Ca Ba O N
1 1 1 2
Direct
0.000 0.000 0.000
0.500 0.500 0.500
0.500 0.000 0.000
0.000 0.000 0.500
0.000 0.500 0.000
```

Output
Spin magnetization: 0.800 μB per atom
Uncorrected energy: -75.8 eV per cell
Space-group type: P4/mmm (123)



First-principles (SCAN) data for a PBEsol-optimized structure of SiNi2Se, as listed in the Alexandria database.

```
SiNi2Se
1.0
-3.800 0.075 1.455
0.846 -2.380 -3.361
1.372 -1.180 3.645
Ni Se Si
2 1 1
Direct
0.750 0.500 0.250
0.250 0.500 0.750
0.500 0.000 0.500
0.000 0.000 0.000
```

Output
Spin magnetization: 0.000 μB per atom
Uncorrected energy: -61.9 eV per cell
Space-group type: I4/mmm (139)



First-principles (SCAN) data for a PBEsol-optimized structure of BaPF2, as listed in the Alexandria database.

```
BaPF2
1.0
-0.963 -3.573 2.763
2.800 -3.672 0.087
3.067 -0.463 4.330
P Ba F
1 1 2
Direct
0.000 0.000 0.000
0.500 0.500 0.500
0.858 0.858 0.427
0.142 0.142 0.573
```

Output
Spin magnetization: 0.250 μB per atom
Distance to the lowest polymorph of the same formula: 0 meV/atom
Space-group type: R-3m (166)



First-principles (SCAN) data for a PBEsol-optimized structure of La2WBr, as listed in the Alexandria database.

```
La2WBr
1.0
3.436 0.000 0.000
0.000 4.965 0.000
0.000 0.000 5.904
Br W La
1 1 2
Direct
0.829 0.500 0.500
0.464 0.000 0.000
0.885 0.500 0.000
0.322 0.000 0.500
```

Output
Spin magnetization: 0.000 μB per atom
Distance to the lowest polymorph of the same formula: 0 meV/atom
Space-group type: Pmm2 (25)



First-principles (SCAN) data for a PBEsol-optimized structure of YIr2Pt, as listed in the Alexandria database.

```
YIr2Pt
1.0
-0.721 -2.717 -0.663
-0.377 0.445 4.875
-4.548 1.535 -1.347
Ir Pt Y
2 1 1
Direct
0.746 0.492 0.718
0.254 0.508 0.282
0.000 0.000 0.500
0.500 0.000 0.000
```

Output
Spin magnetization: 0.000 μB per atom
Distance to the lowest polymorph of the same formula: 0 meV/atom
Space-group type: C2/m (12)



First-principles (SCAN) data for a PBEsol-optimized structure of Rb2SmCl5, as listed in the Alexandria database.

```
Rb2SmCl5
1.0
-7.401 2.959 1.643
-2.364 -7.726 3.266
4.113 3.733 11.807
Rb Sm Cl
8 4 20
Direct
0.440 0.505 0.829
0.560 0.495 0.171
0.940 0.495 0.671
0.560 0.005 0.171
0.060 0.505 0.329
0.440 0.995 0.829
0.060 0.995 0.329
0.940 0.005 0.671
0.428 0.250 0.505
0.572 0.750 0.495
0.928 0.750 0.995
0.072 0.250 0.005
0.150 0.250 0.803
0.850 0.750 0.197
0.650 0.750 0.697
0.350 0.250 0.303
0.615 0.250 0.676
0.385 0.750 0.324
0.115 0.750 0.824
0.885 0.250 0.176
0.094 0.250 0.512
0.906 0.750 0.488
0.594 0.750 0.988
0.406 0.250 0.012
0.337 0.957 0.570
0.663 0.043 0.430
0.837 0.043 0.930
0.663 0.457 0.430
0.163 0.957 0.070
0.337 0.543 0.570
0.163 0.543 0.070
0.837 0.457 0.930
```

Output
Spin magnetization: 0.000 μB per atom
Uncorrected energy: -581.3 eV per cell
Space-group type: Pnma (62)